# Si2SbAsAu

A relaxed Si2SbAsAu crystal (PBE, Alexandria via LeMat-Bulk).

* raw formation energy: 0.77 eV/atom
* V: 121 Å³/cell
* density of states at the Fermi level: 2.87 states/eV/cell

Unit cell a=4.7445 b=4.7445 c=5.3964 alpha=90.00 beta=90.00 gamma=90.00
With the nearest neighbours (Å) after each atom.
Sites, in units of the cell vectors:
Si 0.0000 0.5000 0.0000  2 Au 2.37
Si 0.5000 0.0000 0.0000  2 Au 2.37
Sb 0.0000 0.0000 0.5000  4 As 3.35, 8 Si 3.59
As 0.5000 0.5000 0.5000  2 Au 2.70
Au 0.5000 0.5000 0.0000  4 Si 2.37